(A)
# Co3BiF, optimized geometry, DFT PBE with a Hubbard U
# theoretical density: 8203 kg/m3
# space-group type: Pm-3m
data_Co3BiF
_symmetry_space_group_name_H-M 'P 1'
_symmetry_Int_Tables_number 1
_symmetry_space_group_name_Hall 'P 1'
_cell_length_a 4.343
_cell_length_b 4.343
_cell_length_c 4.343
_cell_angle_alpha 90.00
_cell_angle_beta 90.00
_cell_angle_gamma 90.00
loop_
_atom_site_label
_atom_site_fract_x
_atom_site_fract_y
_atom_site_fract_z
Co1 0.000 0.000 0.500
Co2 0.000 0.500 0.000
Co3 0.500 0.000 0.000
Bi1 0.500 0.500 0.500
F1 0.000 0.000 0.000

=====

(B)
# Co3BiF, optimized geometry, DFT PBE with a Hubbard U
# theoretical density: 5149 kg/m3
# space-group type: Pm-3m
data_Co3BiF
_symmetry_space_group_name_H-M 'P 1'
_symmetry_Int_Tables_number 1
_symmetry_space_group_name_Hall 'P 1'
_cell_length_a 5.073
_cell_length_b 5.073
_cell_length_c 5.073
_cell_angle_alpha 90.00
_cell_angle_beta 90.00
_cell_angle_gamma 90.00
loop_
_atom_site_label
_atom_site_fract_x
_atom_site_fract_y
_atom_site_fract_z
Co1 0.000 0.000 0.500
Co2 0.000 0.500 0.000
Co3 0.500 0.000 0.000
Bi1 0.000 0.000 0.000
F1 0.500 0.500 0.500

=====

Which of them is the most stable? Correct choice: (A).